Entry w
Entry from Alexandria via LeMat-Bulk: La2Pm5Nd12 after structural relaxation (GGA-PBE).

Cell and atoms, written as POSCAR:
```
La2Pm5Nd12
1.0
-5.267 8.594 1.644
-1.566 -5.535 -7.802
-5.590 -4.203 4.059
Nd Pm La
12 5 2
Direct
0.551 0.102 0.290 Nd
0.964 0.385 0.208 Nd
0.620 0.789 0.389 Nd
0.036 0.615 0.792 Nd
0.380 0.211 0.611 Nd
0.831 0.211 0.611 Nd
0.169 0.789 0.389 Nd
0.837 0.674 0.123 Nd
0.449 0.898 0.710 Nd
0.163 0.326 0.877 Nd
0.579 0.615 0.792 Nd
0.421 0.385 0.208 Nd
0.751 0.502 0.487 Pm
0.249 0.498 0.513 Pm
0.646 0.292 0.922 Pm
0.000 0.000 0.500 Pm
0.354 0.708 0.078 Pm
0.786 0.000 0.000 La
0.214 0.000 0.000 La
```

Values from the calculation:
- Total magnetization: 0.00 μB/f.u.
- ρ: 6.7 g/cm³



Entry x
Entry from Alexandria via LeMat-Bulk: La2Pm5Nd12 after structural relaxation (GGA-PBE).

Cell and atoms, written as POSCAR:
```
La2Pm5Nd12
1.0
-5.748 2.416 7.075
-6.428 -3.716 -10.238
5.237 -4.392 5.755
La Nd Pm
2 12 5
Direct
0.333 0.000 0.000 La
0.667 0.000 0.000 La
0.328 0.296 0.053 Nd
0.441 0.882 0.229 Nd
0.565 0.736 0.419 Nd
0.171 0.736 0.419 Nd
0.435 0.264 0.581 Nd
0.829 0.264 0.581 Nd
0.930 0.860 0.738 Nd
0.559 0.118 0.771 Nd
0.032 0.704 0.947 Nd
0.968 0.296 0.053 Nd
0.672 0.704 0.947 Nd
0.070 0.140 0.262 Nd
0.714 0.427 0.388 Pm
0.767 0.535 0.101 Pm
0.233 0.465 0.899 Pm
0.286 0.573 0.612 Pm
0.000 0.000 0.500 Pm
```

Values from the calculation:
- Total magnetization: 0.00 μB/f.u.
- ρ: 6.7 g/cm³



Stability order, top to bottom: entry w, entry x



Entry w
Entry from Alexandria via LeMat-Bulk: La3PmNd2 after structural relaxation (GGA-PBE).

Cell and atoms, written as POSCAR:
```
La3PmNd2
1.0
-2.900 -0.179 2.101
5.197 -8.375 6.463
1.373 11.352 2.860
La Nd Pm
6 4 2
Direct
0.750 0.836 0.672 La
0.250 0.164 0.328 La
0.250 0.672 0.836 La
0.750 0.328 0.164 La
0.250 0.164 0.836 La
0.750 0.836 0.164 La
0.000 0.000 0.000 Nd
0.000 0.500 0.500 Nd
0.000 0.000 0.500 Nd
0.000 0.500 0.000 Nd
0.418 0.667 0.333 Pm
0.582 0.333 0.667 Pm
```

Values from the calculation:
- Total magnetization: 0.00 μB/f.u.
- ρ: 6.5 g/cm³



Entry x
Entry from Alexandria via LeMat-Bulk: La3PmNd2 after structural relaxation (GGA-PBE).

Cell and atoms, written as POSCAR:
```
La3PmNd2
1.0
-2.738 2.176 -0.195
-1.106 -1.975 -6.516
-10.934 -13.234 5.866
Nd La Pm
4 6 2
Direct
0.000 0.272 0.348 Nd
0.000 0.728 0.652 Nd
0.500 0.228 0.848 Nd
0.500 0.772 0.152 Nd
0.500 0.267 0.180 La
0.500 0.500 0.500 La
0.500 0.733 0.820 La
0.000 0.767 0.320 La
0.000 0.233 0.680 La
0.000 0.000 0.000 La
0.500 0.500 0.000 Pm
0.000 0.000 0.500 Pm
```

Values from the calculation:
- Total magnetization: 0.00 μB/f.u.
- ρ: 6.4 g/cm³



Stability order, top to bottom: entry w, entry x